First-principles (GGA+U) data for a geometry-optimized V2Os2F structure, as listed in the Alexandria database.

Calculated values
Polymorph energy (0 for the lowest one) ... 0.037 eV per atom

Cell and atoms, written as CIF:
```
data_V2Os2F
_chemical_formula_sum 'V2 Os2 F1'
_symmetry_space_group_name_H-M 'P 1'
_symmetry_Int_Tables_number 1
_symmetry_space_group_name_Hall 'P 1'
_cell_length_a 3.552
_cell_length_b 3.552
_cell_length_c 7.488
_cell_angle_alpha 76.28
_cell_angle_beta 76.28
_cell_angle_gamma 90.00
loop_
_atom_site_label
_atom_site_fract_x
_atom_site_fract_y
_atom_site_fract_z
V1 0.395 0.395 0.210
V2 0.605 0.605 0.790
F1 0.000 0.000 0.000
Os1 0.250 0.750 0.500
Os2 0.750 0.250 0.500
```

***

First-principles (GGA+U) data for a geometry-optimized V3OsF structure, as listed in the Alexandria database.

Calculated values
Polymorph energy (0 for the lowest one) ... 0.000 eV per atom

Cell and atoms, written as CIF:
```
data_V3OsF
_chemical_formula_sum 'V3 Os1 F1'
_symmetry_space_group_name_H-M 'P 1'
_symmetry_Int_Tables_number 1
_symmetry_space_group_name_Hall 'P 1'
_cell_length_a 4.228
_cell_length_b 4.228
_cell_length_c 4.228
_cell_angle_alpha 90.00
_cell_angle_beta 90.00
_cell_angle_gamma 90.00
loop_
_atom_site_label
_atom_site_fract_x
_atom_site_fract_y
_atom_site_fract_z
V1 0.000 0.500 0.000
V2 0.000 0.000 0.500
F1 0.000 0.000 0.000
V3 0.500 0.000 0.000
Os1 0.500 0.500 0.500
```

***

First-principles (GGA+U) data for a geometry-optimized V2OsWF structure, as listed in the Alexandria database.

Calculated values
Total DFT energy (no corrections) ... -28.23 eV for the cell shown

Cell and atoms, written as CIF:
```
data_V2OsWF
_chemical_formula_sum 'V2 Os1 W1 F1'
_symmetry_space_group_name_H-M 'P 1'
_symmetry_Int_Tables_number 1
_symmetry_space_group_name_Hall 'P 1'
_cell_length_a 4.894
_cell_length_b 5.023
_cell_length_c 4.894
_cell_angle_alpha 90.00
_cell_angle_beta 90.00
_cell_angle_gamma 90.00
loop_
_atom_site_label
_atom_site_fract_x
_atom_site_fract_y
_atom_site_fract_z
F1 0.500 0.500 0.500
Os1 0.000 0.000 0.000
V1 0.500 0.000 0.000
V2 0.000 0.000 0.500
W1 0.000 0.500 0.000
```

***

First-principles (GGA+U) data for a geometry-optimized ZrV2OsF structure, as listed in the Alexandria database.

Calculated values
Total DFT energy (no corrections) ... -31.75 eV for the cell shown

Cell and atoms, written as CIF:
```
data_ZrV2OsF
_chemical_formula_sum 'Zr1 V2 Os1 F1'
_symmetry_space_group_name_H-M 'P 1'
_symmetry_Int_Tables_number 1
_symmetry_space_group_name_Hall 'P 1'
_cell_length_a 4.865
_cell_length_b 4.013
_cell_length_c 4.865
_cell_angle_alpha 90.00
_cell_angle_beta 90.00
_cell_angle_gamma 90.00
loop_
_atom_site_label
_atom_site_fract_x
_atom_site_fract_y
_atom_site_fract_z
Zr1 0.500 0.500 0.500
F1 0.000 0.500 0.000
Os1 0.000 0.000 0.000
V1 0.000 0.000 0.500
V2 0.500 0.000 0.000
```